Record 1
A plane-wave DFT calculation with GGA-PBE was carried out for a relaxed Zr2PbSe crystal.

Values from the calculation:
Energy relative to the elements, uncorrected   -624 meV/atom
N(E_F)   2.628 states/eV per cell
Calculated volume   24.31 A^3/atom
Space group   Pmm2, No. 25
Total magnetic moment   0.0 μB/cell

a b c (Å): 3.572 3.775 7.211
angles (deg): 90.00 90.00 90.00
Positions (direct):
Pb1 0.000 0.000 0.460
Se1 0.500 0.500 0.839
Zr1 0.000 0.000 0.972
Zr2 0.500 0.500 0.229


Record 2
A plane-wave DFT calculation with GGA-PBE was carried out for a relaxed Rb2NpAg2Br6 crystal.

Values from the calculation:
Energy relative to the elements, uncorrected   -1041 meV/atom
N(E_F)   7.945 states/eV per cell
Calculated volume   39.27 A^3/atom
Space group   C2/m, No. 12
Total magnetic moment   4.7 μB/cell

a b c (Å): 8.416 7.877 8.716
angles (deg): 113.23 90.00 122.29
Positions (direct):
Rb1 0.717 0.434 0.158
Rb2 0.283 0.566 0.842
Np1 0.500 0.000 0.500
Ag1 0.949 0.898 0.823
Ag2 0.051 0.102 0.177
Br1 0.732 0.464 0.561
Br2 0.206 0.875 0.221
Br3 0.331 0.125 0.779
Br4 0.794 0.125 0.779
Br5 0.669 0.875 0.221
Br6 0.268 0.536 0.439


Record 3
A plane-wave DFT calculation with GGA-PBE was carried out for a relaxed CaNdSb crystal.

Values from the calculation:
Energy relative to the elements, uncorrected   -587 meV/atom
N(E_F)   2.162 states/eV per cell
Calculated volume   30.86 A^3/atom
Space group   I4mm, No. 107
Total magnetic moment   1.8 μB/cell

a b c (Å): 4.143 4.143 6.138
angles (deg): 109.73 109.73 90.00
Positions (direct):
Sb1 0.284 0.284 0.569
Ca1 0.632 0.632 0.264
Nd1 0.934 0.934 0.867


Record 4
A plane-wave DFT calculation with GGA-PBE was carried out for a relaxed Li3AlPd12 crystal.

Values from the calculation:
ΔE_f   -0.338 eV/atom
N(E_F)   18.971 states/eV per cell
Calculated volume   14.77 A^3/atom
Space group   P4/mmm, No. 123
Total magnetic moment   0.0 μB/cell

a b c (Å): 3.922 3.922 15.368
angles (deg): 90.00 90.00 90.00
Positions (direct):
Li1 0.000 0.000 0.250
Li2 0.000 0.000 0.500
Li3 0.000 0.000 0.750
Al1 0.000 0.000 0.000
Pd1 0.500 0.500 0.000
Pd2 0.500 0.500 0.250
Pd3 0.500 0.500 0.500
Pd4 0.500 0.500 0.750
Pd5 0.500 0.000 0.123
Pd6 0.500 0.000 0.375
Pd7 0.500 0.000 0.625
Pd8 0.500 0.000 0.877
Pd9 0.000 0.500 0.123
Pd10 0.000 0.500 0.375
Pd11 0.000 0.500 0.625
Pd12 0.000 0.500 0.877


Record 5
A plane-wave DFT calculation with GGA-PBE was carried out for a relaxed Rb3AuI6 crystal.

Values from the calculation:
Energy relative to the elements, uncorrected   -761 meV/atom
N(E_F)   6.643 states/eV per cell
Calculated volume   50.12 A^3/atom
Space group   I4/mmm, No. 139
Total magnetic moment   0.0 μB/cell

a b c (Å): 9.047 9.047 8.855
angles (deg): 59.28 59.28 90.00
Positions (direct):
I1 0.220 0.220 0.560
I2 0.780 0.780 0.440
I3 0.231 0.231 0.000
I4 0.769 0.769 0.000
I5 0.769 0.231 0.000
I6 0.231 0.769 0.000
Au1 0.000 0.000 0.000
Rb1 0.500 0.500 0.000
Rb2 0.750 0.250 0.500
Rb3 0.250 0.750 0.500


Record 6
A plane-wave DFT calculation with GGA-PBE was carried out for a relaxed RbOs crystal.

Values from the calculation:
ΔE_f   3.169 eV/atom
N(E_F)   24.874 states/eV per cell
Calculated volume   86.68 A^3/atom
Space group   Pm-3n, No. 223
Total magnetic moment   18.0 μB/cell

a b c (Å): 10.132 10.132 10.132
angles (deg): 90.00 90.00 90.00
Positions (direct):
Rb1 0.250 0.000 0.500
Rb2 0.750 0.000 0.500
Rb3 0.000 0.500 0.250
Rb4 0.000 0.500 0.750
Rb5 0.500 0.250 0.000
Rb6 0.500 0.750 0.000
Os1 0.250 0.500 0.000
Os2 0.750 0.500 0.000
Os3 0.500 0.000 0.250
Os4 0.500 0.000 0.750
Os5 0.000 0.250 0.500
Os6 0.000 0.750 0.500


Record 7
A plane-wave DFT calculation with GGA-PBE was carried out for a relaxed CsYCl3 crystal.

Values from the calculation:
Energy relative to the elements, uncorrected   -1663 meV/atom
N(E_F)   0.673 states/eV per cell
Calculated volume   28.04 A^3/atom
Space group   P6_3/mmc, No. 194
Total magnetic moment   2.0 μB/cell

a b c (Å): 5.390 5.390 11.147
angles (deg): 90.00 90.00 120.00
Positions (direct):
Cs1 0.333 0.667 0.750
Cs2 0.667 0.333 0.250
Y1 0.000 0.000 0.000
Y2 0.000 0.000 0.500
Cl1 0.000 0.000 0.250
Cl2 0.000 0.000 0.750
Cl3 0.333 0.667 0.055
Cl4 0.333 0.667 0.445
Cl5 0.667 0.333 0.555
Cl6 0.667 0.333 0.945


Record 8
A plane-wave DFT calculation with GGA-PBE was carried out for a relaxed TaSnMo crystal.

Values from the calculation:
ΔE_f   0.190 eV/atom
N(E_F)   2.337 states/eV per cell
Calculated volume   18.35 A^3/atom
Space group   P3m1, No. 156
Total magnetic moment   0.0 μB/cell

a b c (Å): 2.928 4.659 4.659
angles (deg): 120.00 90.00 90.00
Positions (direct):
Mo1 0.682 0.333 0.667
Sn1 0.361 0.667 0.333
Ta1 0.957 0.000 0.000


Record 9
A plane-wave DFT calculation with GGA-PBE was carried out for a relaxed FeAsIr2 crystal.

Values from the calculation:
ΔE_f   0.578 eV/atom
N(E_F)   5.738 states/eV per cell
Calculated volume   20.06 A^3/atom
Space group   I-42d, No. 122
Total magnetic moment   5.7 μB/cell

a b c (Å): 5.302 5.302 6.830
angles (deg): 67.16 67.16 90.00
Positions (direct):
As1 0.000 0.000 0.000
As2 0.750 0.250 0.500
Ir1 0.618 0.125 0.250
Ir2 0.132 0.625 0.250
Ir3 0.375 0.382 0.750
Ir4 0.875 0.868 0.750
Fe1 0.500 0.500 0.000
Fe2 0.250 0.750 0.500


Record 10
A plane-wave DFT calculation with GGA-PBE was carried out for a relaxed DyErCdPb crystal.

Values from the calculation:
ΔE_f   -0.362 eV/atom
N(E_F)   3.526 states/eV per cell
Calculated volume   26.61 A^3/atom
Space group   F-43m, No. 216
Total magnetic moment   0.0 μB/cell

a b c (Å): 5.320 5.320 5.320
angles (deg): 60.00 60.00 60.00
Positions (direct):
Pb1 0.250 0.250 0.250
Cd1 0.750 0.750 0.750
Dy1 0.500 0.500 0.500
Er1 0.000 0.000 0.000


Record 11
A plane-wave DFT calculation with GGA-PBE was carried out for a relaxed Ba2Cd3Ge crystal.

Values from the calculation:
ΔE_f   -0.377 eV/atom
N(E_F)   9.444 states/eV per cell
Calculated volume   32.25 A^3/atom
Space group   Fmmm, No. 69
Total magnetic moment   0.0 μB/cell

a b c (Å): 6.713 6.713 10.024
angles (deg): 112.23 112.23 82.53
Positions (direct):
Ba1 0.750 0.250 0.500
Ba2 0.760 0.240 0.000
Ba3 0.250 0.750 0.500
Ba4 0.240 0.760 0.000
Cd1 0.826 0.826 0.171
Cd2 0.655 0.655 0.829
Cd3 0.174 0.174 0.829
Cd4 0.345 0.345 0.171
Cd5 0.172 0.172 0.344
Cd6 0.828 0.828 0.656
Ge1 0.664 0.664 0.329
Ge2 0.336 0.336 0.671


Record 12
A plane-wave DFT calculation with GGA-PBE was carried out for a relaxed Sr crystal.

Values from the calculation:
ΔE_f   0.958 eV/atom
N(E_F)   3.183 states/eV per cell
Calculated volume   110.14 A^3/atom
Space group   Fd-3m, No. 227
Total magnetic moment   0.0 μB/cell

a b c (Å): 6.779 6.779 6.779
angles (deg): 60.00 60.00 60.00
Positions (direct):
Sr1 0.000 0.000 0.000
Sr2 0.750 0.750 0.750